[1]
## AlInMo2 (PBE)

Data for a relaxed structure of AlInMo2.

abc: 4.871 4.871 2.849
angles: 90.00 90.00 90.00
Fractional positions:
Mo1 0.000 0.000 0.000
Mo2 0.500 0.500 0.000
Al1 0.500 0.000 0.500
In1 0.000 0.500 0.500

Computed properties:
Its crystal system is tetragonal. The spin magnetization is 0.0 μB/f.u. Its space group is P4/mmm (123). The formation energy from the elements is 129 kJ/mol of formula units.

---

[2]
## AlInMo2 (PBE)

Data for a relaxed structure of AlInMo2.

abc: 9.452 9.452 9.452
angles: 17.76 17.76 17.76
Fractional positions:
Mo1 0.996 0.996 0.996
Mo2 0.504 0.504 0.504
Al1 0.250 0.250 0.250
In1 0.750 0.750 0.750

Computed properties:
Its crystal system is trigonal. The spin magnetization is 0.0 μB/f.u. Its space group is R-3m (166). The formation energy from the elements is 99 kJ/mol of formula units.

---

[3]
## AlInMo2 (PBE)

Data for a relaxed structure of AlInMo2.

abc: 2.805 2.805 8.843
angles: 90.00 90.00 104.56
Fractional positions:
Mo1 0.000 0.000 0.015
Mo2 0.000 0.000 0.485
Al1 0.500 0.500 0.250
In1 0.500 0.500 0.750

Computed properties:
Its crystal system is orthorhombic. The spin magnetization is 0.0 μB/f.u. Its space group is Cmmm (65). The formation energy from the elements is 69 kJ/mol of formula units.

---

| no. | N(E_F) (states/eV per atom) | uncorrected energy (eV/atom) | energy above the most stable polymorph in this dataset (eV per formula unit) |
| --- | --- | --- | --- |
| 1 | 1.119 | -6.702 | 1.24 |
| 2 | 0.498 | -6.780 | 0.93 |
| 3 | 0.676 | -6.858 | 0.62 |